1.
## Ce5PuGa2 (PBE)

Data for a relaxed Ce5PuGa2 crystal.

Properties
**Total magnetic moment**: 5.691 μB/cell
**Symmetry**: No. 1
**DOS at the Fermi energy**: 16.72 states/eV per cell
**Formation energy from the elements**: -263.2 meV/atom

Lattice parameters (Å, degrees): 6.737 6.749 6.446 122.78 122.21 88.49
Fractional coordinates of all 8 atoms:
Ce: 0.730 0.733 0.953
Ce: 0.219 0.221 0.950
Pu: 0.120 0.204 0.324
Ga: 0.238 0.733 0.448
Ce: 0.239 0.683 0.922
Ce: 0.708 0.270 0.978
Ce: 0.808 0.722 0.530
Ga: 0.714 0.212 0.449



2.
## Ce5Pu2Ga3 (PBE)

Data for a relaxed Ce5Pu2Ga3 crystal.

Properties
**Total magnetic moment**: 25.676 μB/cell
**Symmetry**: No. 72
**DOS at the Fermi energy**: 44.97 states/eV per cell
**Formation energy from the elements**: -118.3 meV/atom

Lattice parameters (Å, degrees): 9.885 8.229 9.077 116.96 122.99 90.00
Fractional coordinates of all 20 atoms:
Ga: 0.358 0.422 0.715
Pu: 0.639 0.225 0.278
Ce: 0.983 0.233 0.467
Ga: 0.858 0.294 0.715
Ga: 0.250 0.000 0.000
Pu: 0.861 0.946 0.722
Pu: 0.139 0.054 0.278
Ga: 0.142 0.706 0.285
Ga: 0.642 0.578 0.285
Ce: 0.483 0.233 0.467
Ce: 0.418 0.131 0.835
Ga: 0.750 0.000 0.000
Ce: 0.918 0.704 0.835
Ce: 0.017 0.767 0.533
Ce: 0.750 0.500 0.000
Ce: 0.517 0.767 0.533
Ce: 0.250 0.500 0.000
Pu: 0.361 0.775 0.722
Ce: 0.082 0.296 0.165
Ce: 0.582 0.869 0.165



3.
## Ce6PuGa3 (PBE)

Data for a relaxed Ce6PuGa3 crystal.

Properties
**Total magnetic moment**: 0.004 μB/cell
**Symmetry**: No. 166
**DOS at the Fermi energy**: 37.05 states/eV per cell
**Formation energy from the elements**: -259.3 meV/atom

Lattice parameters (Å, degrees): 8.073 8.073 8.073 76.13 76.13 76.13
Fractional coordinates of all 20 atoms:
Ce: 0.854 0.200 0.200
Ga: 0.843 0.545 0.843
Ce: 0.472 0.820 0.472
Ce: 0.146 0.800 0.800
Ga: 0.455 0.157 0.157
Ce: 0.528 0.180 0.528
Ga: 0.843 0.843 0.545
Ce: 0.180 0.528 0.528
Pu: 0.000 0.000 0.000
Ce: 0.200 0.200 0.854
Ce: 0.800 0.800 0.146
Ce: 0.820 0.472 0.472
Ga: 0.157 0.157 0.455
Ga: 0.545 0.843 0.843
Ce: 0.200 0.854 0.200
Ce: 0.472 0.472 0.820
Ce: 0.800 0.146 0.800
Ga: 0.157 0.455 0.157
Pu: 0.500 0.500 0.500
Ce: 0.528 0.528 0.180



4.
## CePu5Ga2 (PBE)

Data for a relaxed CePu5Ga2 crystal.

Properties
**Total magnetic moment**: 17.316 μB/cell
**Symmetry**: No. 139
**DOS at the Fermi energy**: 25.47 states/eV per cell
**Formation energy from the elements**: -140.5 meV/atom

Lattice parameters (Å, degrees): 6.313 6.313 6.418 119.46 119.46 90.00
Fractional coordinates of all 8 atoms:
Ce: 0.222 0.222 0.444
Ga: 0.222 0.722 0.444
Pu: 0.722 0.722 0.944
Pu: 0.722 0.222 0.944
Pu: 0.722 0.722 0.444
Pu: 0.222 0.722 0.944
Ga: 0.722 0.222 0.444
Pu: 0.222 0.222 0.944



5.
## Ce3Pu2Ga3 (PBE)

Data for a relaxed Ce3Pu2Ga3 crystal.

Properties
**Total magnetic moment**: 12.961 μB/cell
**Symmetry**: No. 189
**DOS at the Fermi energy**: 17.92 states/eV per cell
**Formation energy from the elements**: -308.9 meV/atom

Lattice parameters (Å, degrees): 3.375 8.093 8.093 120.00 90.00 90.00
Fractional coordinates of all 8 atoms:
Ga: 0.500 0.000 0.627
Pu: 0.000 0.667 0.333
Ga: 0.500 0.373 0.373
Ce: 0.000 0.277 0.000
Ga: 0.500 0.627 0.000
Ce: 0.000 0.723 0.723
Pu: 0.000 0.333 0.667
Ce: 0.000 0.000 0.277



6.
## CePuGa (PBE)

Data for a relaxed CePuGa crystal.

Properties
**Total magnetic moment**: 6.353 μB/cell
**Symmetry**: No. 187
**DOS at the Fermi energy**: 6.74 states/eV per cell
**Formation energy from the elements**: -211.5 meV/atom

Lattice parameters (Å, degrees): 3.116 4.989 4.989 120.00 90.00 90.00
Fractional coordinates of all 3 atoms:
Ce: 0.167 0.000 0.000
Ga: 0.667 0.667 0.333
Pu: 0.167 0.333 0.667



7.
## Ce2Pu2Ga (PBE)

Data for a relaxed Ce2Pu2Ga crystal.

Properties
**Total magnetic moment**: 1.664 μB/cell
**Symmetry**: No. 12
**DOS at the Fermi energy**: 23.24 states/eV per cell
**Formation energy from the elements**: -14.0 meV/atom

Lattice parameters (Å, degrees): 3.986 6.532 10.426 75.97 78.98 72.23
Fractional coordinates of all 10 atoms:
Pu: 0.032 0.822 0.114
Ce: 0.284 0.287 0.145
Pu: 0.888 0.606 0.618
Ce: 0.488 0.687 0.338
Ce: 0.716 0.713 0.855
Pu: 0.968 0.178 0.886
Ga: 0.218 0.959 0.606
Pu: 0.112 0.394 0.382
Ga: 0.782 0.041 0.394
Ce: 0.512 0.313 0.662



8.
## CePu2Ga6 (PBE)

Data for a relaxed CePu2Ga6 crystal.

Properties
**Total magnetic moment**: 11.994 μB/cell
**Symmetry**: No. 71
**DOS at the Fermi energy**: 21.50 states/eV per cell
**Formation energy from the elements**: -277.1 meV/atom

Lattice parameters (Å, degrees): 4.461 7.677 7.677 55.44 73.11 73.11
Fractional coordinates of all 9 atoms:
Ga: 0.812 0.491 0.885
Ce: 0.500 0.500 0.500
Pu: 0.618 0.882 0.882
Ga: 0.000 0.189 0.811
Ga: 0.188 0.115 0.509
Ga: 0.000 0.811 0.189
Ga: 0.812 0.885 0.491
Ga: 0.188 0.509 0.115
Pu: 0.382 0.118 0.118



9.
## CePu2Ga2 (PBE)

Data for a relaxed CePu2Ga2 crystal.

Properties
**Total magnetic moment**: 13.717 μB/cell
**Symmetry**: No. 139
**DOS at the Fermi energy**: 14.64 states/eV per cell
**Formation energy from the elements**: 113.1 meV/atom

Lattice parameters (Å, degrees): 7.666 7.666 7.666 147.80 147.80 46.19
Fractional coordinates of all 5 atoms:
Ga: 0.750 0.250 0.500
Pu: 0.393 0.393 0.000
Pu: 0.607 0.607 0.000
Ce: 0.000 0.000 0.000
Ga: 0.250 0.750 0.500



10.
## Ce8PuGa2 (PBE)

Data for a relaxed Ce8PuGa2 crystal.

Properties
**Total magnetic moment**: 3.068 μB/cell
**Symmetry**: No. 12
**DOS at the Fermi energy**: 23.29 states/eV per cell
**Formation energy from the elements**: -155.8 meV/atom

Lattice parameters (Å, degrees): 5.842 7.829 7.829 117.61 103.19 103.19
Fractional coordinates of all 11 atoms:
Ce: 0.890 0.705 0.905
Ga: 0.000 0.698 0.302
Ga: 0.000 0.302 0.698
Ce: 0.110 0.095 0.295
Ce: 0.314 0.648 0.648
Ce: 0.686 0.352 0.352
Ce: 0.500 0.807 0.193
Ce: 0.110 0.295 0.095
Ce: 0.890 0.905 0.705
Pu: 0.500 0.000 0.000
Ce: 0.500 0.193 0.807



> Among the records above, which one has the highest total magnetic moment?

Ce5Pu2Ga3



> Which of these has the lowest DOS at the Fermi energy?

CePuGa



> Among the records above, which one has the highest DOS at the Fermi energy?

Ce5Pu2Ga3



> Which value of DOS at the Fermi energy does entry 8 give?

21.50 states/eV per cell